# 1
# Th4Os2RhS GGA-PBE optimized geometry
# - Symmetry: P2/m (10)
# - Calculated total energy: -8.73 eV/atom
# - M_tot: 0.00 μB per formula unit
# - DOS(E_F): 0.561 states/eV/atom
data_Th4Os2RhS
_chemical_formula_sum 'Th4 Os2 Rh1 S1'
_space_group_name_H-M_alt 'P 1'
_space_group_IT_number 1
_space_group_name_Hall 'P 1'
_cell_length_a 7.143
_cell_length_b 4.122
_cell_length_c 7.220
_cell_angle_alpha 90.00
_cell_angle_beta 109.28
_cell_angle_gamma 90.00
loop_
_atom_site_label
_atom_site_fract_x
_atom_site_fract_y
_atom_site_fract_z
Th1 0.233 0.000 0.239
Th2 0.239 0.500 0.749
Th3 0.761 0.500 0.251
Th4 0.767 0.000 0.761
Os1 0.000 0.000 0.500
Os2 0.000 0.500 0.000
Rh1 0.500 0.000 0.000
S1 0.500 0.500 0.500


# 2
# Pm15Dy4Ho GGA-PBE optimized geometry
# - Energy of formation from the pure elements: 14 meV/atom
# - Symmetry: P4/mmm (123)
# - Calculated total energy: -4.70 eV/atom
# - M_tot: 0.00 μB per formula unit
# - DOS(E_F): 1.360 states/eV/atom
data_Pm15Dy4Ho
_chemical_formula_sum 'Pm15 Dy4 Ho1'
_space_group_name_H-M_alt 'P 1'
_space_group_IT_number 1
_space_group_name_Hall 'P 1'
_cell_length_a 5.128
_cell_length_b 5.128
_cell_length_c 25.537
_cell_angle_alpha 90.00
_cell_angle_beta 90.00
_cell_angle_gamma 90.00
loop_
_atom_site_label
_atom_site_fract_x
_atom_site_fract_y
_atom_site_fract_z
Pm1 0.000 0.000 0.000
Pm2 0.000 0.000 0.200
Pm3 0.000 0.000 0.400
Pm4 0.000 0.000 0.600
Pm5 0.000 0.000 0.800
Pm6 0.000 0.500 0.100
Pm7 0.000 0.500 0.300
Pm8 0.000 0.500 0.500
Pm9 0.000 0.500 0.700
Pm10 0.000 0.500 0.900
Pm11 0.500 0.000 0.100
Pm12 0.500 0.000 0.300
Pm13 0.500 0.000 0.500
Pm14 0.500 0.000 0.700
Pm15 0.500 0.000 0.900
Dy1 0.500 0.500 0.200
Dy2 0.500 0.500 0.400
Dy3 0.500 0.500 0.600
Dy4 0.500 0.500 0.800
Ho1 0.500 0.500 0.000


What is the formula in the first record?
Th4Os2RhS


What is the DOS(E_F) in the first record?
0.561 states/eV/atom


The highest calculated total energy belongs to which entry?
Pm15Dy4Ho